(1)
A plane-wave DFT calculation with PBE was carried out for crystalline LaIrAu4 at its relaxed geometry.

Structure (CIF):
```
data_LaIrAu4
_cell_length_a 7.846
_cell_length_b 7.846
_cell_length_c 7.846
_cell_angle_alpha 90.00
_cell_angle_beta 90.00
_cell_angle_gamma 90.00
_symmetry_space_group_name_H-M 'F -4 3 m'
_symmetry_Int_Tables_number 216
_symmetry_space_group_name_Hall 'F -4 2 3'
loop_
_atom_site_label
_atom_site_fract_x
_atom_site_fract_y
_atom_site_fract_z
La1 0.000 0.000 0.000
Ir1 0.250 0.250 0.250
Au1 0.124 0.124 0.624
```

## Properties
Calculated density (g/cm3): 15.4
Energy of formation from the pure elements (eV per atom): -0.1827
Size of the total moment (μB/atom): 0.000
Raw total energy (eV for the cell shown): -111.98



(2)
A plane-wave DFT calculation with PBE was carried out for crystalline LaLuIrAu at its relaxed geometry.

Structure (CIF):
```
data_LaLuIrAu
_cell_length_a 7.141
_cell_length_b 7.141
_cell_length_c 7.141
_cell_angle_alpha 90.00
_cell_angle_beta 90.00
_cell_angle_gamma 90.00
_symmetry_space_group_name_H-M 'F -4 3 m'
_symmetry_Int_Tables_number 216
_symmetry_space_group_name_Hall 'F -4 2 3'
loop_
_atom_site_label
_atom_site_fract_x
_atom_site_fract_y
_atom_site_fract_z
La1 0.000 0.000 0.000
Lu1 0.000 0.000 0.500
Ir1 0.250 0.250 0.250
Au1 0.250 0.250 0.750
```

## Properties
Calculated density (g/cm3): 12.8
Energy of formation from the pure elements (eV per atom): -0.7425
Size of the total moment (μB/atom): 0.000
Raw total energy (eV for the cell shown): -98.23



(3)
A plane-wave DFT calculation with PBE was carried out for crystalline La6IrAu2N at its relaxed geometry.

Structure (CIF):
```
data_La6IrAu2N
_cell_length_a 6.981
_cell_length_b 7.681
_cell_length_c 12.575
_cell_angle_alpha 90.00
_cell_angle_beta 122.82
_cell_angle_gamma 90.00
_symmetry_space_group_name_H-M 'P 1 21/c 1'
_symmetry_Int_Tables_number 14
_symmetry_space_group_name_Hall '-P 2ybc'
loop_
_atom_site_label
_atom_site_fract_x
_atom_site_fract_y
_atom_site_fract_z
La1 0.114 0.207 0.445
La2 0.245 0.678 0.440
La3 0.358 0.030 0.237
Ir1 0.500 0.000 0.500
Au1 0.191 0.094 0.739
N1 0.000 0.000 0.000
```

## Properties
Calculated density (g/cm3): 8.4
Raw formation energy (eV/atom): -0.775
Size of the total moment (μB/atom): 0.000
Raw total energy (eV for the cell shown): -122.10



(4)
A plane-wave DFT calculation with PBE was carried out for crystalline La2IrOsAu at its relaxed geometry.

Structure (CIF):
```
data_La2IrOsAu
_cell_length_a 5.589
_cell_length_b 5.589
_cell_length_c 4.688
_cell_angle_alpha 90.00
_cell_angle_beta 90.00
_cell_angle_gamma 90.00
_symmetry_space_group_name_H-M 'P 4/m m m'
_symmetry_Int_Tables_number 123
_symmetry_space_group_name_Hall '-P 4 2'
loop_
_atom_site_label
_atom_site_fract_x
_atom_site_fract_y
_atom_site_fract_z
La1 0.000 0.500 0.000
Ir1 0.000 0.000 0.500
Os1 0.000 0.000 0.000
Au1 0.500 0.500 0.500
```

## Properties
Calculated density (g/cm3): 9.7
Energy of formation from the pure elements (eV per atom): 0.0115
Size of the total moment (μB/atom): 0.000
Raw total energy (eV for the cell shown): -33.17



(5)
A plane-wave DFT calculation with PBE was carried out for crystalline La8Ir2OsAu at its relaxed geometry.

Structure (CIF):
```
data_La8Ir2OsAu
_cell_length_a 6.831
_cell_length_b 8.732
_cell_length_c 6.909
_cell_angle_alpha 90.00
_cell_angle_beta 90.39
_cell_angle_gamma 90.00
_symmetry_space_group_name_H-M 'P 1 2/m 1'
_symmetry_Int_Tables_number 10
_symmetry_space_group_name_Hall '-P 2y'
loop_
_atom_site_label
_atom_site_fract_x
_atom_site_fract_y
_atom_site_fract_z
La1 0.220 0.000 0.349
La2 0.230 0.500 0.333
La3 0.264 0.269 0.834
Ir1 0.000 0.250 0.500
Os1 0.500 0.500 0.000
Au1 0.500 0.000 0.000
```

## Properties
Calculated density (g/cm3): 7.6
Energy of formation from the pure elements (eV per atom): -0.4579
Size of the total moment (μB/atom): 0.000
Raw total energy (eV for the cell shown): -77.14



(6)
A plane-wave DFT calculation with PBE was carried out for crystalline La8IrOsAu2 at its relaxed geometry.

Structure (CIF):
```
data_La8IrOsAu2
_cell_length_a 6.758
_cell_length_b 8.550
_cell_length_c 7.226
_cell_angle_alpha 90.00
_cell_angle_beta 93.41
_cell_angle_gamma 90.00
_symmetry_space_group_name_H-M 'P 1 2/m 1'
_symmetry_Int_Tables_number 10
_symmetry_space_group_name_Hall '-P 2y'
loop_
_atom_site_label
_atom_site_fract_x
_atom_site_fract_y
_atom_site_fract_z
La1 0.138 0.246 0.273
La2 0.360 0.000 0.721
La3 0.361 0.500 0.720
Ir1 0.000 0.500 0.500
Os1 0.000 0.000 0.500
Au1 0.500 0.251 0.000
```

## Properties
Calculated density (g/cm3): 7.5
Energy of formation from the pure elements (eV per atom): -0.4143
Size of the total moment (μB/atom): 0.000
Raw total energy (eV for the cell shown): -71.04



(7)
A plane-wave DFT calculation with PBE was carried out for crystalline La2IrPdAu at its relaxed geometry.

Structure (CIF):
```
data_La2IrPdAu
_cell_length_a 4.296
_cell_length_b 4.296
_cell_length_c 13.295
_cell_angle_alpha 90.00
_cell_angle_beta 90.00
_cell_angle_gamma 90.00
_symmetry_space_group_name_H-M 'P 4/n m m'
_symmetry_Int_Tables_number 129
loop_
_symmetry_equiv_pos_as_xyz
'x,y,z'
'-x,-y,-z'
'-y+1/2,x,z'
'y+1/2,-x,-z'
'-x+1/2,-y+1/2,z'
'x+1/2,y+1/2,-z'
'y,-x+1/2,z'
'-y,x+1/2,-z'
'x+1/2,-y,-z'
'-x+1/2,y,z'
'-y,-x,-z'
'y,x,z'
'-x,y+1/2,-z'
'x,-y+1/2,z'
'y+1/2,x+1/2,-z'
'-y+1/2,-x+1/2,z'
loop_
_atom_site_label
_atom_site_fract_x
_atom_site_fract_y
_atom_site_fract_z
La1 0.250 0.250 0.110
La2 0.250 0.250 0.680
Ir1 0.250 0.250 0.886
Pd1 0.250 0.750 0.500
Au1 0.250 0.250 0.359
```

## Properties
Calculated density (g/cm3): 10.5
Energy of formation from the pure elements (eV per atom): -0.7373
Size of the total moment (μB/atom): 0.000
Raw total energy (eV for the cell shown): -61.74



(8)
A plane-wave DFT calculation with PBE was carried out for crystalline LaPmIrAu at its relaxed geometry.

Structure (CIF):
```
data_LaPmIrAu
_cell_length_a 7.288
_cell_length_b 7.288
_cell_length_c 7.288
_cell_angle_alpha 90.00
_cell_angle_beta 90.00
_cell_angle_gamma 90.00
_symmetry_space_group_name_H-M 'F -4 3 m'
_symmetry_Int_Tables_number 216
_symmetry_space_group_name_Hall 'F -4 2 3'
loop_
_atom_site_label
_atom_site_fract_x
_atom_site_fract_y
_atom_site_fract_z
La1 0.000 0.000 0.000
Pm1 0.000 0.000 0.500
Ir1 0.250 0.250 0.750
Au1 0.250 0.250 0.250
```

## Properties
Calculated density (g/cm3): 11.6
Energy of formation from the pure elements (eV per atom): -0.6907
Size of the total moment (μB/atom): 0.000
Raw total energy (eV for the cell shown): -98.32



(9)
A plane-wave DFT calculation with PBE was carried out for crystalline LaPrIrAu at its relaxed geometry.

Structure (CIF):
```
data_LaPrIrAu
_cell_length_a 7.338
_cell_length_b 7.338
_cell_length_c 7.338
_cell_angle_alpha 90.00
_cell_angle_beta 90.00
_cell_angle_gamma 90.00
_symmetry_space_group_name_H-M 'F -4 3 m'
_symmetry_Int_Tables_number 216
_symmetry_space_group_name_Hall 'F -4 2 3'
loop_
_atom_site_label
_atom_site_fract_x
_atom_site_fract_y
_atom_site_fract_z
La1 0.000 0.000 0.000
Pr1 0.000 0.000 0.500
Ir1 0.250 0.250 0.250
Au1 0.250 0.250 0.750
```

## Properties
Calculated density (g/cm3): 11.2
Energy of formation from the pure elements (eV per atom): -0.6627
Size of the total moment (μB/atom): 0.000
Raw total energy (eV for the cell shown): -97.98



(10)
A plane-wave DFT calculation with PBE was carried out for crystalline La4IrPtAu2 at its relaxed geometry.

Structure (CIF):
```
data_La4IrPtAu2
_cell_length_a 7.419
_cell_length_b 4.277
_cell_length_c 7.600
_cell_angle_alpha 90.00
_cell_angle_beta 108.86
_cell_angle_gamma 90.00
_symmetry_space_group_name_H-M 'P 1 2/m 1'
_symmetry_Int_Tables_number 10
_symmetry_space_group_name_Hall '-P 2y'
loop_
_atom_site_label
_atom_site_fract_x
_atom_site_fract_y
_atom_site_fract_z
La1 0.235 0.000 0.224
La2 0.251 0.500 0.774
Ir1 0.000 0.500 0.000
Pt1 0.500 0.000 0.000
Au1 0.000 0.000 0.500
Au2 0.500 0.500 0.500
```

## Properties
Calculated density (g/cm3): 9.7
Energy of formation from the pure elements (eV per atom): -0.8985
Size of the total moment (μB/atom): 0.000
Raw total energy (eV for the cell shown): -48.35



(11)
A plane-wave DFT calculation with PBE was carried out for crystalline La6Ir2PtAu3 at its relaxed geometry.

Structure (CIF):
```
data_La6Ir2PtAu3
_cell_length_a 7.403
_cell_length_b 12.798
_cell_length_c 7.610
_cell_angle_alpha 90.00
_cell_angle_beta 108.84
_cell_angle_gamma 90.00
_symmetry_space_group_name_H-M 'C 1 2/m 1'
_symmetry_Int_Tables_number 12
_symmetry_space_group_name_Hall '-C 2y'
loop_
_atom_site_label
_atom_site_fract_x
_atom_site_fract_y
_atom_site_fract_z
La1 0.231 0.000 0.219
La2 0.246 0.329 0.224
Ir1 0.000 0.168 0.000
Pt1 0.000 0.500 0.000
Au1 0.000 0.000 0.500
Au2 0.000 0.339 0.500
```

## Properties
Calculated density (g/cm3): 9.8
Energy of formation from the pure elements (eV per atom): -0.8654
Size of the total moment (μB/atom): 0.000
Raw total energy (eV for the cell shown): -147.09